This record from Alexandria describes crystalline Ce3Al2Cu7 at its relaxed geometry. The functional is PBE.

Properties
Density of states at the Fermi level   18.3 states/eV/cell
Formation enthalpy at 0 K   -2.10 eV per formula unit
Space group   No. 166

Unit cell a=8.832 b=8.832 c=8.832 alpha=35.01 beta=35.01 gamma=35.01
Site moments in Bohr magnetons follow the coordinates.
Sites, in units of the cell vectors:
Cu 0.916 0.420 0.420  0.01
Cu 0.580 0.084 0.580  0.01
Ce 0.147 0.147 0.147  -0.01
Cu 0.580 0.580 0.084  0.01
Cu 0.420 0.420 0.916  0.01
Ce 0.000 0.000 0.000  0.66
Cu 0.500 0.500 0.500  0.00
Ce 0.853 0.853 0.853  -0.01
Al 0.668 0.668 0.668  0.00
Cu 0.420 0.916 0.420  0.01
Cu 0.084 0.580 0.580  0.01
Al 0.332 0.332 0.332  0.00